This record from the Alexandria database describes a geometry-optimized AlFe3F structure. The functional is PBE with a Hubbard U.

abc: 4.1901 4.1901 4.1901
angles: 90.00 90.00 90.00
Space group Pm-3m (No. 221)
Asymmetric unit:
Al  0.0000  0.0000  0.0000 (multiplicity 1)
Fe  0.0000  0.5000  0.5000 (multiplicity 3)
F  0.5000  0.5000  0.5000 (multiplicity 1)

Results
* Fermi-level density of states: 4.5 states/eV/cell
* total magnetization: 9.79 μB per formula unit
* crystal system: cubic
* relative energy among the computed polymorphs: 0.000 eV/atom